<one>
Compound: Li2TiCuO4
Source: Alexandria
Functional: SCAN
Structure: single point on PBEsol structure

Results
**Spin magnetization**: 0.80 μB/f.u.

Geometry as CIF:
```
data_Li2TiCuO4
_chemical_formula_sum 'Li4 Ti2 Cu2 O8'
_cell_length_a 3.962
_cell_length_b 3.962
_cell_length_c 8.879
_cell_angle_alpha 90.00
_cell_angle_beta 90.00
_cell_angle_gamma 90.00
_space_group_name_H-M_alt 'I -4 m 2'
_space_group_IT_number 119
_space_group_name_Hall 'I -4 -2'
loop_
_atom_site_label
_atom_site_type_symbol
_atom_site_fract_x
_atom_site_fract_y
_atom_site_fract_z
_atom_site_occupancy
Li1 Li 0.000 0.000 0.000 1
Li2 Li 0.000 0.500 0.250 1
Ti1 Ti 0.000 0.000 0.500 1
Cu1 Cu 0.000 0.500 0.750 1
O1 O 0.000 0.000 0.277 1
O2 O 0.000 0.500 0.005 1
```



<two>
Compound: Li2TiCuO4
Source: Alexandria
Functional: SCAN
Structure: single point on PBEsol structure

Results
**Spin magnetization**: 0.99 μB/f.u.

Geometry as CIF:
```
data_Li2TiCuO4
_chemical_formula_sum 'Li8 Ti4 Cu4 O16'
_cell_length_a 5.648
_cell_length_b 5.723
_cell_length_c 9.079
_cell_angle_alpha 90.00
_cell_angle_beta 90.00
_cell_angle_gamma 90.00
_space_group_name_H-M_alt 'I m m a'
_space_group_IT_number 74
_space_group_name_Hall '-I 2b 2'
loop_
_atom_site_label
_atom_site_type_symbol
_atom_site_fract_x
_atom_site_fract_y
_atom_site_fract_z
_atom_site_occupancy
Li1 Li 0.000 0.000 0.000 1
Li2 Li 0.250 0.250 0.250 1
Ti1 Ti 0.000 0.000 0.500 1
Cu1 Cu 0.250 0.250 0.750 1
O1 O 0.000 0.017 0.720 1
O2 O 0.236 0.250 0.483 1
```



Result of the stability comparison: <two> is the most stable of them.



<one>
Compound: LiV4CuO12
Source: Alexandria
Functional: SCAN
Structure: single point on PBEsol structure

Results
**Spin magnetization**: 1.93 μB/f.u.

Geometry as CIF:
```
data_LiV4CuO12
_chemical_formula_sum 'Li1 V4 Cu1 O12'
_cell_length_a 4.920
_cell_length_b 5.282
_cell_length_c 7.213
_cell_angle_alpha 84.83
_cell_angle_beta 89.71
_cell_angle_gamma 89.53
_space_group_name_H-M_alt 'P 1'
_space_group_IT_number 1
loop_
_space_group_symop_operation_xyz
'x,y,z'
loop_
_atom_site_label
_atom_site_type_symbol
_atom_site_fract_x
_atom_site_fract_y
_atom_site_fract_z
_atom_site_occupancy
Li1 Li 0.000 0.000 0.000 1
V1 V 0.007 0.568 0.278 1
V2 V 0.492 0.048 0.796 1
V3 V 0.509 0.046 0.283 1
V4 V 0.992 0.551 0.781 1
Cu1 Cu 0.503 0.468 0.496 1
O1 O 0.100 0.596 0.056 1
O2 O 0.200 0.900 0.763 1
O3 O 0.211 0.308 0.366 1
O4 O 0.311 0.417 0.734 1
O5 O 0.325 0.780 0.373 1
O6 O 0.386 0.097 0.061 1
O7 O 0.605 0.116 0.557 1
O8 O 0.699 0.407 0.264 1
O9 O 0.707 0.807 0.856 1
O10 O 0.817 0.909 0.247 1
O11 O 0.818 0.297 0.867 1
O12 O 0.858 0.600 0.559 1
```



<two>
Compound: LiV4CuO12
Source: Alexandria
Functional: SCAN
Structure: single point on PBEsol structure

Results
**Spin magnetization**: 2.14 μB/f.u.

Geometry as CIF:
```
data_LiV4CuO12
_chemical_formula_sum 'Li2 V8 Cu2 O24'
_cell_length_a 9.833
_cell_length_b 8.695
_cell_length_c 5.804
_cell_angle_alpha 90.00
_cell_angle_beta 110.34
_cell_angle_gamma 90.00
_space_group_name_H-M_alt 'C 1 2 1'
_space_group_IT_number 5
loop_
_space_group_symop_operation_xyz
'x,y,z'
'-x,y,-z'
'x+1/2,y+1/2,z'
'-x+1/2,y+1/2,-z'
loop_
_atom_site_label
_atom_site_type_symbol
_atom_site_fract_x
_atom_site_fract_y
_atom_site_fract_z
_atom_site_occupancy
Li1 Li 0.000 0.000 0.000 1
V1 V 0.202 0.498 0.491 1
V2 V 0.211 0.680 0.006 1
Cu1 Cu 0.000 0.170 0.500 1
O1 O 0.107 0.165 0.855 1
O2 O 0.116 0.001 0.428 1
O3 O 0.134 0.579 0.196 1
O4 O 0.143 0.317 0.472 1
O5 O 0.148 0.608 0.699 1
O6 O 0.161 0.859 0.005 1
```



Result of the stability comparison: <two> is the most stable of them.



<one>
Compound: LiCu2Os
Source: Alexandria
Functional: SCAN
Structure: single point on PBEsol structure

Results
**Spin magnetization**: 0.77 μB/f.u.

Geometry as CIF:
```
data_LiCu2Os
_chemical_formula_sum 'Li2 Cu4 Os2'
_cell_length_a 3.572
_cell_length_b 3.572
_cell_length_c 7.548
_cell_angle_alpha 90.00
_cell_angle_beta 90.00
_cell_angle_gamma 90.00
_space_group_name_H-M_alt 'I -4 m 2'
_space_group_IT_number 119
_space_group_name_Hall 'I -4 -2'
loop_
_atom_site_label
_atom_site_type_symbol
_atom_site_fract_x
_atom_site_fract_y
_atom_site_fract_z
_atom_site_occupancy
Li1 Li 0.000 0.000 0.000 1
Cu1 Cu 0.000 0.000 0.500 1
Cu2 Cu 0.000 0.500 0.750 1
Os1 Os 0.000 0.500 0.250 1
```



<two>
Compound: LiCu2Os
Source: Alexandria
Functional: SCAN
Structure: single point on PBEsol structure

Results
**Spin magnetization**: 0.00 μB/f.u.

Geometry as CIF:
```
data_LiCu2Os
_chemical_formula_sum 'Li1 Cu2 Os1'
_cell_length_a 2.545
_cell_length_b 2.545
_cell_length_c 7.946
_cell_angle_alpha 90.00
_cell_angle_beta 90.00
_cell_angle_gamma 90.00
_space_group_name_H-M_alt 'P 4/m m m'
_space_group_IT_number 123
_space_group_name_Hall '-P 4 2'
loop_
_atom_site_label
_atom_site_type_symbol
_atom_site_fract_x
_atom_site_fract_y
_atom_site_fract_z
_atom_site_occupancy
Li1 Li 0.000 0.000 0.000 1
Cu1 Cu 0.500 0.500 0.255 1
Os1 Os 0.000 0.000 0.500 1
```



Result of the stability comparison: <two> is the most stable of them.